Material: ReW2Cl
Method: DFT, PBEsol
State: relaxed

Cell lengths 3.7646, 3.7646, 4.3637 Å; angles 90.00, 90.00, 90.00 degrees
Element x y z (fractional)
Re: 0.0000 0.0000 0.5000
W: 0.0000 0.5000 0.0000
W: 0.5000 0.0000 0.0000
Cl: 0.5000 0.5000 0.5000

Computed properties:
Energy relative to the lowest polymorph listed for this composition, meV/atom: 1041
Energy relative to the elements, uncorrected, meV/atom: 1460
DOS at the Fermi energy, states/eV/cell: 3.32